1.
Computed, not measured: an optimized crystal structure of ZrAlSi2 at the PBE level of DFT.

Geometry as POSCAR:
```
ZrAlSi2
1.0
2.1725 -3.7629 0.0000
2.1725 3.7629 0.0000
0.0000 0.0000 8.6393
Al Si Zr
2 4 2
direct
0.0000 0.0000 0.8281
0.0000 0.0000 0.1719
0.3333 0.6667 0.7181
0.6667 0.3333 0.2819
0.6667 0.3333 0.9506
0.3333 0.6667 0.0494
0.6667 0.3333 0.6235
0.3333 0.6667 0.3765
```

* space-group type: No. 164
* total energy: -0.42722 Ry per atom
* magnetization: 0.00 Bohr magnetons per cell
* calculated volume: 17.657 Å³/atom

2.
Computed, not measured: an optimized crystal structure of Li3Pu3NbS8 at the PBE level of DFT.

Geometry as POSCAR:
```
Li3Pu3NbS8
1.0
7.7249 -0.0001 -0.0001
-3.8625 6.6897 -0.0239
0.0000 -4.4390 6.1525
Pu Nb Li S
3 1 3 8
direct
0.5000 0.0000 0.5000
0.0000 0.5000 0.5000
0.5000 0.5000 0.5000
0.0000 0.0000 0.5000
0.0000 0.0000 0.0000
0.0000 0.5000 0.0000
0.5000 0.5000 0.0000
0.2304 0.9952 0.2601
0.2352 0.0048 0.7399
0.7648 0.9952 0.2601
0.2352 0.4704 0.7399
0.2481 0.4962 0.2443
0.7696 0.0048 0.7399
0.7519 0.5038 0.7557
0.7648 0.5296 0.2601
```

* space-group type: No. 166
* total energy: -0.55505 Ry per atom
* magnetization: 16.00 Bohr magnetons per cell
* calculated volume: 21.142 Å³/atom

3.
Computed, not measured: an optimized crystal structure of Li3CdAu at the PBE level of DFT.

Geometry as POSCAR:
```
Li3CdAu
1.0
-3.1713 2.2309 2.9076
-2.2775 -4.2121 0.7478
2.8713 -0.8770 3.8046
Au Li Cd
1 3 1
direct
0.0000 0.0000 0.0000
0.0000 0.0000 0.5000
0.0000 0.5000 0.0000
0.5000 0.0000 0.0000
0.5000 0.5000 0.5000
```

* energy of formation: -0.14 eV per atom
* space-group type: No. 221
* total energy: -0.15610 Ry per atom
* magnetization: 0.00 Bohr magnetons per cell
* distance to the lowest polymorph of the same formula: 5.28 kcal/mol of atoms
* calculated volume: 22.767 Å³/atom

4.
Computed, not measured: an optimized crystal structure of Mg3Cd3Hg2 at the PBE level of DFT.

Geometry as POSCAR:
```
Mg3Cd3Hg2
1.0
4.5521 0.0000 0.0000
0.0000 4.5706 0.0000
0.0000 0.0000 8.3815
Hg Cd Mg
2 3 3
direct
0.0000 0.0000 0.2598
0.0000 0.0000 0.7402
0.5000 0.5000 0.2512
0.0000 0.5000 0.0000
0.5000 0.5000 0.7488
0.0000 0.5000 0.5000
0.5000 0.0000 0.0000
0.5000 0.0000 0.5000
```

* energy of formation: -0.12 eV per atom
* space-group type: No. 47
* total energy: -0.08318 Ry per atom
* magnetization: 0.00 Bohr magnetons per cell
* distance to the lowest polymorph of the same formula: 0.00 kcal/mol of atoms
* calculated volume: 21.798 Å³/atom